[1]
{"formula": "Mg3CuGe", "functional": "PBE", "state": "relaxed", "delta_e_f_ev_per_atom": 0.347, "de_polymorph_mev_per_atom": 117, "e_tot_ev_per_atom": -2.352, "dos_ef_per_ev_atom": 0.620, "lattice": [[-4.917, -0.461, -0.792], [0.916, -2.311, -4.340], [0.034, -4.411, 2.356]], "species": ["Mg", "Mg", "Mg", "Ge", "Cu"], "fractional_positions": [[0.000, 0.000, 0.500], [0.000, 0.500, 0.000], [0.500, 0.000, 0.000], [0.000, 0.000, 0.000], [0.500, 0.500, 0.500]]}


[2]
{"formula": "CrRu2W", "functional": "PBE", "state": "relaxed", "delta_e_f_ev_per_atom": 0.198, "de_polymorph_mev_per_atom": 118, "e_tot_ev_per_atom": -10.084, "dos_ef_per_ev_atom": 1.120, "lattice": [[-0.764, 2.347, -4.452], [-4.776, 0.216, -1.748], [3.150, 1.238, 3.801]], "species": ["W", "Ru", "Cr", "Ru"], "fractional_positions": [[0.484, 0.484, 0.000], [0.018, 0.018, 0.000], [0.260, 0.760, 0.500], [0.738, 0.238, 0.500]]}


[3]
{"formula": "Tl2NiW", "functional": "PBE", "state": "relaxed", "delta_e_f_ev_per_atom": 0.988, "de_polymorph_mev_per_atom": 465, "e_tot_ev_per_atom": -4.879, "dos_ef_per_ev_atom": 1.166, "lattice": [[-2.880, 2.394, -4.012], [-2.100, -3.201, -3.932], [0.125, 0.095, 5.486]], "species": ["Ni", "Tl", "W", "Tl"], "fractional_positions": [[0.750, 0.250, 0.500], [0.250, 0.750, 0.500], [0.500, 0.500, 0.000], [0.000, 0.000, 0.000]]}